No. 1
The following is a SCAN calculation of Be2Nb2Tc at its PBEsol-relaxed geometry, from Alexandria via LeMat-Bulk.

Lattice parameters (Å, degrees): 3.2769 6.2938 6.2938 90.00 90.00 90.00
Fractional coordinates of all 10 atoms:
1 Be 0.0000 0.1183 0.3817
2 Nb 0.5000 0.1786 0.6786
3 Be 0.0000 0.8817 0.6183
4 Nb 0.5000 0.6786 0.8214
5 Tc 0.0000 0.0000 0.0000
6 Be 0.0000 0.6183 0.1183
7 Nb 0.5000 0.3214 0.1786
8 Be 0.0000 0.3817 0.8817
9 Nb 0.5000 0.8214 0.3214
10 Tc 0.0000 0.5000 0.5000

- Density: 7.7 Mg/m³
- Volume: 130 Å³/cell
- Formation energy: -341 meV per atom

***

No. 2
The following is a SCAN calculation of TiBe2Nb2 at its PBEsol-relaxed geometry, from Alexandria via LeMat-Bulk.

Lattice parameters (Å, degrees): 3.3241 6.4347 6.4347 90.00 90.00 90.00
Fractional coordinates of all 10 atoms:
1 Nb 0.5000 0.8228 0.3228
2 Nb 0.5000 0.1772 0.6772
3 Ti 0.0000 0.5000 0.5000
4 Be 0.0000 0.8838 0.6162
5 Be 0.0000 0.3838 0.8838
6 Nb 0.5000 0.3228 0.1772
7 Be 0.0000 0.6162 0.1162
8 Nb 0.5000 0.6772 0.8228
9 Ti 0.0000 0.0000 0.0000
10 Be 0.0000 0.1162 0.3838

- Density: 6.1 Mg/m³
- Volume: 138 Å³/cell
- Formation energy: -92 meV per atom

***

No. 3
The following is a SCAN calculation of BeNb3Tl at its PBEsol-relaxed geometry, from Alexandria via LeMat-Bulk.

Lattice parameters (Å, degrees): 5.0257 5.0257 5.0257 90.00 90.00 90.00
Fractional coordinates of all 5 atoms:
1 Nb 0.0000 0.5000 0.0000
2 Nb 0.5000 0.0000 0.0000
3 Tl 0.0000 0.0000 0.0000
4 Be 0.5000 0.5000 0.5000
5 Nb 0.0000 0.0000 0.5000

- Density: 6.4 Mg/m³
- Volume: 127 Å³/cell
- Formation energy: 2310 meV per atom

***

No. 4
The following is a SCAN calculation of YBeNb2Tl at its PBEsol-relaxed geometry, from Alexandria via LeMat-Bulk.

Lattice parameters (Å, degrees): 5.1186 5.1186 5.4182 90.00 90.00 90.00
Last column: magnetic moment on the atom in μB.
Fractional coordinates of all 5 atoms:
1 Y 0.0000 0.0000 0.5000  -0.07
2 Be 0.5000 0.5000 0.5000  -0.11
3 Tl 0.0000 0.0000 0.0000  0.03
4 Nb 0.5000 0.0000 0.0000  1.14
5 Nb 0.0000 0.5000 0.0000  1.14

- Density: 5.7 Mg/m³
- Volume: 142 Å³/cell
- Formation energy: 1723 meV per atom

***

No. 5
The following is a SCAN calculation of Be2NbW2 at its PBEsol-relaxed geometry, from Alexandria via LeMat-Bulk.

Lattice parameters (Å, degrees): 3.2285 6.2875 6.2875 90.00 90.00 90.00
Fractional coordinates of all 10 atoms:
1 W 0.5000 0.8236 0.3236
2 Be 0.0000 0.3848 0.8848
3 Nb 0.0000 0.5000 0.5000
4 Be 0.0000 0.6152 0.1152
5 W 0.5000 0.1764 0.6764
6 Nb 0.0000 0.0000 0.0000
7 Be 0.0000 0.1152 0.3848
8 W 0.5000 0.6764 0.8236
9 W 0.5000 0.3236 0.1764
10 Be 0.0000 0.8848 0.6152

- Density: 12.5 Mg/m³
- Volume: 128 Å³/cell
- Formation energy: -133 meV per atom

***

No. 6
The following is a SCAN calculation of BeNb2Zn at its PBEsol-relaxed geometry, from Alexandria via LeMat-Bulk.

Lattice parameters (Å, degrees): 4.3527 4.3527 4.3527 60.00 60.00 60.00
Fractional coordinates of all 4 atoms:
1 Nb 0.7500 0.7500 0.7500
2 Nb 0.2500 0.2500 0.2500
3 Zn 0.5000 0.5000 0.5000
4 Be 0.0000 0.0000 0.0000

- Density: 7.4 Mg/m³
- Volume: 58 Å³/cell
- Formation energy: 75 meV per atom

***

No. 7
The following is a SCAN calculation of BeNb2Zn2 at its PBEsol-relaxed geometry, from Alexandria via LeMat-Bulk.

Lattice parameters (Å, degrees): 3.4106 3.4106 7.2413 103.62 103.62 90.00
Fractional coordinates of all 5 atoms:
1 Nb 0.5864 0.5864 0.1729
2 Zn 0.7500 0.2500 0.5000
3 Zn 0.2500 0.7500 0.5000
4 Be 0.0000 0.0000 0.0000
5 Nb 0.4136 0.4136 0.8271

- Density: 6.8 Mg/m³
- Volume: 79 Å³/cell
- Formation energy: 479 meV per atom

***

No. 8
The following is a SCAN calculation of ZrBeNb3 at its PBEsol-relaxed geometry, from Alexandria via LeMat-Bulk.

Lattice parameters (Å, degrees): 4.4826 4.4826 4.4826 90.00 90.00 90.00
Fractional coordinates of all 5 atoms:
1 Zr 0.5000 0.5000 0.5000
2 Nb 0.0000 0.0000 0.5000
3 Nb 0.0000 0.5000 0.0000
4 Nb 0.5000 0.0000 0.0000
5 Be 0.0000 0.0000 0.0000

- Density: 7.0 Mg/m³
- Volume: 90 Å³/cell
- Formation energy: 477 meV per atom

***

No. 9
The following is a SCAN calculation of Be3Ni at its PBEsol-relaxed geometry, from Alexandria via LeMat-Bulk.

Lattice parameters (Å, degrees): 2.6098 2.6098 4.8776 90.00 90.00 90.00
Fractional coordinates of all 4 atoms:
1 Ni 0.5000 0.5000 0.0000
2 Be 0.0000 0.0000 0.2496
3 Be 0.5000 0.5000 0.5000
4 Be 0.0000 0.0000 0.7504

- Density: 4.3 Mg/m³
- Offset from the most stable computed form: 82 meV per atom
- Volume: 33 Å³/cell
- Formation energy: -261 meV per atom

***

No. 10
The following is a SCAN calculation of Be7Ni at its PBEsol-relaxed geometry, from Alexandria via LeMat-Bulk.

Lattice parameters (Å, degrees): 4.5157 4.5157 4.5157 60.00 60.00 60.00
Fractional coordinates of all 8 atoms:
1 Be 0.5000 0.5000 0.5000
2 Be 0.5000 0.0000 0.5000
3 Be 0.0000 0.0000 0.5000
4 Be 0.5000 0.0000 0.0000
5 Be 0.5000 0.5000 0.0000
6 Ni 0.0000 0.0000 0.0000
7 Be 0.0000 0.5000 0.0000
8 Be 0.0000 0.5000 0.5000

- Density: 3.1 Mg/m³
- Volume: 65 Å³/cell
- Formation energy: -109 meV per atom

***

No. 11
The following is a SCAN calculation of BeNi3 at its PBEsol-relaxed geometry, from Alexandria via LeMat-Bulk.

Lattice parameters (Å, degrees): 2.6244 3.8384 3.8384 90.00 90.00 90.00
Last column: magnetic moment on the atom in μB.
Fractional coordinates of all 4 atoms:
1 Ni 0.5000 0.0000 0.5000  0.19
2 Be 0.0000 0.0000 0.0000  -0.01
3 Ni 0.5000 0.5000 0.0000  0.19
4 Ni 0.0000 0.5000 0.5000  0.48

- Density: 7.9 Mg/m³
- Volume: 39 Å³/cell
- Formation energy: -151 meV per atom

***

No. 12
The following is a SCAN calculation of Be3Ni5 at its PBEsol-relaxed geometry, from Alexandria via LeMat-Bulk.

Lattice parameters (Å, degrees): 3.6601 4.5879 4.5879 107.79 90.00 90.00
Fractional coordinates of all 8 atoms:
1 Be 0.5000 0.2363 0.7637
2 Be 0.5000 0.7637 0.2363
3 Ni 0.0000 0.0000 0.0000
4 Ni 0.5000 0.2709 0.2709
5 Ni 0.0000 0.5000 0.0000
6 Be 0.0000 0.5000 0.5000
7 Ni 0.5000 0.7291 0.7291
8 Ni 0.0000 0.0000 0.5000

- Density: 7.3 Mg/m³
- Volume: 73 Å³/cell
- Formation energy: -358 meV per atom